1.
Density functional theory data (GGA-PBE) for a relaxed structure of CoHgAs2.

CIF file:
```
data_CoHgAs2
_chemical_formula_sum 'Co2 Hg2 As4'
_space_group_name_H-M_alt 'I 4/m m m'
_space_group_IT_number 139
_space_group_name_Hall '-I 4 2'
_cell_length_a 4.2128
_cell_length_b 4.2128
_cell_length_c 8.0017
_cell_angle_alpha 90.00
_cell_angle_beta 90.00
_cell_angle_gamma 90.00
loop_
_atom_site_label
_atom_site_type_symbol
_atom_site_fract_x
_atom_site_fract_y
_atom_site_fract_z
Co1 Co 0.0000 0.0000 0.0000
Hg1 Hg 0.0000 0.0000 0.5000
As1 As 0.0000 0.5000 0.2500
```

Its crystal system is tetragonal. The calculation puts the energy of formation from the pure elements at 0.51 eV per atom.

=====

2.
Density functional theory data (GGA-PBE) for a relaxed structure of Dy4AgPd.

CIF file:
```
data_Dy4AgPd
_chemical_formula_sum 'Dy8 Ag2 Pd2'
_space_group_name_H-M_alt 'C 1 2/m 1'
_space_group_IT_number 12
_cell_length_a 6.9875
_cell_length_b 6.9875
_cell_length_c 7.0491
_cell_angle_alpha 90.00
_cell_angle_beta 90.07
_cell_angle_gamma 90.00
loop_
_space_group_symop_operation_xyz
'x,y,z'
'-x,-y,-z'
'-x,y,-z'
'x,-y,z'
'x+1/2,y+1/2,z'
'-x+1/2,-y+1/2,-z'
'-x+1/2,y+1/2,-z'
'x+1/2,-y+1/2,z'
loop_
_atom_site_label
_atom_site_type_symbol
_atom_site_fract_x
_atom_site_fract_y
_atom_site_fract_z
Dy1 Dy 0.2497 0.2499 0.2411
Ag1 Ag 0.0000 0.0000 0.5000
Pd1 Pd 0.0000 0.5000 0.0000
```

Its crystal system is monoclinic. For the polymorph energy (0 for the lowest one), the calculation gives 225 meV per atom. The calculation puts the energy of formation from the pure elements at -0.21 eV per atom.

=====

3.
Density functional theory data (GGA-PBE) for a relaxed structure of SmAlZnGa2.

CIF file:
```
data_SmAlZnGa2
_chemical_formula_sum 'Sm2 Al2 Zn2 Ga4'
_space_group_name_H-M_alt 'I -4 m 2'
_space_group_IT_number 119
_space_group_name_Hall 'I -4 -2'
_cell_length_a 4.1653
_cell_length_b 4.1653
_cell_length_c 11.0940
_cell_angle_alpha 90.00
_cell_angle_beta 90.00
_cell_angle_gamma 90.00
loop_
_atom_site_label
_atom_site_type_symbol
_atom_site_fract_x
_atom_site_fract_y
_atom_site_fract_z
Sm1 Sm 0.0000 0.0000 0.0000
Al1 Al 0.0000 0.5000 0.2500
Zn1 Zn 0.0000 0.5000 0.7500
Ga1 Ga 0.0000 0.0000 0.3888
```

Its crystal system is tetragonal. The calculation puts the energy of formation from the pure elements at -0.45 eV per atom.

=====

4.
Density functional theory data (GGA-PBE) for a relaxed structure of TlCrFeCl5.

CIF file:
```
data_TlCrFeCl5
_chemical_formula_sum 'Tl4 Cr4 Fe4 Cl20'
_space_group_name_H-M_alt 'C 1 2/c 1'
_space_group_IT_number 15
_cell_length_a 8.7737
_cell_length_b 11.5213
_cell_length_c 9.0894
_cell_angle_alpha 90.00
_cell_angle_beta 112.04
_cell_angle_gamma 90.00
loop_
_space_group_symop_operation_xyz
'x,y,z'
'-x,-y,-z'
'-x,y,-z+1/2'
'x,-y,z+1/2'
'x+1/2,y+1/2,z'
'-x+1/2,-y+1/2,-z'
'-x+1/2,y+1/2,-z+1/2'
'x+1/2,-y+1/2,z+1/2'
loop_
_atom_site_label
_atom_site_type_symbol
_atom_site_fract_x
_atom_site_fract_y
_atom_site_fract_z
Tl1 Tl 0.0000 0.1559 0.2500
Cr1 Cr 0.0000 0.5000 0.0000
Fe1 Fe 0.0000 0.1915 0.7500
Cl1 Cl 0.0000 0.4309 0.2500
Cl2 Cl 0.1057 0.3085 0.6064
Cl3 Cl 0.1934 0.0784 0.9299
```

Its crystal system is monoclinic. The calculation puts the total energy at -4.599 eV per atom.

=====

Number 1: volume 17.8 Å³/atom. Number 2: volume 28.7 Å³/atom. Number 3: volume 19.2 Å³/atom. Number 4: volume 26.6 Å³/atom.